# 1
# Ni2RhSe (PBE, optimized geometry)
data_Ni2RhSe
_space_group_name_H-M_alt 'F m -3 m'
_space_group_IT_number 225
_space_group_name_Hall '-F 4 2 3'
_cell_length_a 5.973
_cell_length_b 5.973
_cell_length_c 5.973
_cell_angle_alpha 90.00
_cell_angle_beta 90.00
_cell_angle_gamma 90.00
loop_
_atom_site_label
_atom_site_type_symbol
_atom_site_fract_x
_atom_site_fract_y
_atom_site_fract_z
Ni1 Ni 0.250 0.250 0.250
Rh1 Rh 0.000 0.000 0.000
Se1 Se 0.000 0.000 0.500
# total moment: 0.000 μB per cell
# energy: -86.5 eV per cell


# 2
# NiRh3Se (PBE, optimized geometry)
data_NiRh3Se
_space_group_name_H-M_alt 'P m -3 m'
_space_group_IT_number 221
_space_group_name_Hall '-P 4 2 3'
_cell_length_a 4.503
_cell_length_b 4.503
_cell_length_c 4.503
_cell_angle_alpha 90.00
_cell_angle_beta 90.00
_cell_angle_gamma 90.00
loop_
_atom_site_label
_atom_site_type_symbol
_atom_site_fract_x
_atom_site_fract_y
_atom_site_fract_z
Ni1 Ni 0.000 0.000 0.000
Rh1 Rh 0.000 0.000 0.500
Se1 Se 0.500 0.500 0.500
# total moment: 3.544 μB per cell
# energy: -25.8 eV per cell


# 3
# NiRhSe2 (PBE, optimized geometry)
data_NiRhSe2
_space_group_name_H-M_alt 'P 1 2/m 1'
_space_group_IT_number 10
_cell_length_a 4.430
_cell_length_b 3.426
_cell_length_c 4.645
_cell_angle_alpha 90.00
_cell_angle_beta 103.50
_cell_angle_gamma 90.00
loop_
_space_group_symop_operation_xyz
'x,y,z'
'-x,-y,-z'
'-x,y,-z'
'x,-y,z'
loop_
_atom_site_label
_atom_site_type_symbol
_atom_site_fract_x
_atom_site_fract_y
_atom_site_fract_z
Ni1 Ni 0.000 0.000 0.000
Rh1 Rh 0.500 0.000 0.500
Se1 Se 0.267 0.500 0.779
# total moment: 0.001 μB per cell
# energy: -19.8 eV per cell


# 4
# NiRh2Se (PBE, optimized geometry)
data_NiRh2Se
_space_group_name_H-M_alt 'P 4 m m'
_space_group_IT_number 99
_cell_length_a 3.009
_cell_length_b 3.009
_cell_length_c 6.232
_cell_angle_alpha 90.00
_cell_angle_beta 90.00
_cell_angle_gamma 90.00
loop_
_space_group_symop_operation_xyz
'x,y,z'
'-y,x,z'
'-x,-y,z'
'y,-x,z'
'-x,y,z'
'y,x,z'
'x,-y,z'
'-y,-x,z'
loop_
_atom_site_label
_atom_site_type_symbol
_atom_site_fract_x
_atom_site_fract_y
_atom_site_fract_z
Ni1 Ni 0.000 0.000 0.000
Rh1 Rh 0.000 0.000 0.528
Rh2 Rh 0.500 0.500 0.247
Se1 Se 0.500 0.500 0.790
# total moment: 0.483 μB per cell
# energy: -23.4 eV per cell


# 5
# NiRh2Se (PBE, optimized geometry)
data_NiRh2Se
_space_group_name_H-M_alt 'R -3 m'
_space_group_IT_number 166
_space_group_name_Hall '-R 3 2"'
_cell_length_a 2.8966
_cell_length_b 2.8966
_cell_length_c 23.9455
_cell_angle_alpha 90.00
_cell_angle_beta 90.00
_cell_angle_gamma 120.00
loop_
_atom_site_label
_atom_site_type_symbol
_atom_site_fract_x
_atom_site_fract_y
_atom_site_fract_z
Ni1 Ni 0.0000 0.0000 0.0000
Rh1 Rh 0.0000 0.0000 0.2491
Se1 Se 0.0000 0.0000 0.5000
# total moment: 3.072 μB per cell
# energy: -69.6 eV per cell


# 6
# NiRhSe2 (PBE, optimized geometry)
data_NiRhSe2
_space_group_name_H-M_alt 'I m m 2'
_space_group_IT_number 44
_cell_length_a 3.125
_cell_length_b 4.361
_cell_length_c 9.283
_cell_angle_alpha 90.00
_cell_angle_beta 90.00
_cell_angle_gamma 90.00
loop_
_space_group_symop_operation_xyz
'x,y,z'
'-x,-y,z'
'-x,y,z'
'x,-y,z'
'x+1/2,y+1/2,z+1/2'
'-x+1/2,-y+1/2,z+1/2'
'-x+1/2,y+1/2,z+1/2'
'x+1/2,-y+1/2,z+1/2'
loop_
_atom_site_label
_atom_site_type_symbol
_atom_site_fract_x
_atom_site_fract_y
_atom_site_fract_z
Ni1 Ni 0.000 0.000 0.000
Rh1 Rh 0.000 0.500 0.780
Se1 Se 0.000 0.000 0.504
Se2 Se 0.000 0.500 0.286
# total moment: 0.000 μB per cell
# energy: -39.1 eV per cell


# 7
# NiRhSe3 (PBE, optimized geometry)
data_NiRhSe3
_space_group_name_H-M_alt 'C 1 2/c 1'
_space_group_IT_number 15
_cell_length_a 11.462
_cell_length_b 11.081
_cell_length_c 6.572
_cell_angle_alpha 90.00
_cell_angle_beta 99.77
_cell_angle_gamma 90.00
loop_
_space_group_symop_operation_xyz
'x,y,z'
'-x,-y,-z'
'-x,y,-z+1/2'
'x,-y,z+1/2'
'x+1/2,y+1/2,z'
'-x+1/2,-y+1/2,-z'
'-x+1/2,y+1/2,-z+1/2'
'x+1/2,-y+1/2,z+1/2'
loop_
_atom_site_label
_atom_site_type_symbol
_atom_site_fract_x
_atom_site_fract_y
_atom_site_fract_z
Ni1 Ni 0.223 0.089 0.075
Rh1 Rh 0.000 0.250 0.750
Rh2 Rh 0.000 0.415 0.250
Se1 Se 0.116 0.048 0.747
Se2 Se 0.117 0.415 0.628
Se3 Se 0.134 0.287 0.084
# total moment: 0.000 μB per cell
# energy: -197.0 eV per cell


# 8
# NiRh2Se (PBE, optimized geometry)
data_NiRh2Se
_space_group_name_H-M_alt 'P 4/m m m'
_space_group_IT_number 123
_space_group_name_Hall '-P 4 2'
_cell_length_a 3.168
_cell_length_b 3.168
_cell_length_c 5.625
_cell_angle_alpha 90.00
_cell_angle_beta 90.00
_cell_angle_gamma 90.00
loop_
_atom_site_label
_atom_site_type_symbol
_atom_site_fract_x
_atom_site_fract_y
_atom_site_fract_z
Ni1 Ni 0.000 0.000 0.000
Rh1 Rh 0.500 0.500 0.238
Se1 Se 0.000 0.000 0.500
# total moment: 0.465 μB per cell
# energy: -23.6 eV per cell


# 9
# NiRhSe2 (PBE, optimized geometry)
data_NiRhSe2
_space_group_name_H-M_alt 'P 4 m m'
_space_group_IT_number 99
_cell_length_a 3.333
_cell_length_b 3.333
_cell_length_c 6.646
_cell_angle_alpha 90.00
_cell_angle_beta 90.00
_cell_angle_gamma 90.00
loop_
_space_group_symop_operation_xyz
'x,y,z'
'-y,x,z'
'-x,-y,z'
'y,-x,z'
'-x,y,z'
'y,x,z'
'x,-y,z'
'-y,-x,z'
loop_
_atom_site_label
_atom_site_type_symbol
_atom_site_fract_x
_atom_site_fract_y
_atom_site_fract_z
Ni1 Ni 0.000 0.000 0.000
Rh1 Rh 0.500 0.500 0.229
Se1 Se 0.000 0.000 0.371
Se2 Se 0.500 0.500 0.864
# total moment: 0.000 μB per cell
# energy: -21.0 eV per cell


# 10
# NiRh2Se6 (PBE, optimized geometry)
data_NiRh2Se6
_space_group_name_H-M_alt 'P -3 m 1'
_space_group_IT_number 164
_space_group_name_Hall '-P 3 2"'
_cell_length_a 10.9784
_cell_length_b 10.9784
_cell_length_c 5.0506
_cell_angle_alpha 90.00
_cell_angle_beta 90.00
_cell_angle_gamma 120.00
loop_
_atom_site_label
_atom_site_type_symbol
_atom_site_fract_x
_atom_site_fract_y
_atom_site_fract_z
Ni1 Ni 0.0000 0.0000 0.0000
Ni2 Ni 0.3333 0.6667 0.5130
Rh1 Rh 0.0000 0.3370 0.0000
Se1 Se 0.0961 0.5481 0.2866
Se2 Se 0.1093 0.2187 0.2505
Se3 Se 0.2151 0.4301 0.7269
# total moment: 0.000 μB per cell
# energy: -132.3 eV per cell


# 11
# Ni2RhSe (PBE, optimized geometry)
data_Ni2RhSe
_space_group_name_H-M_alt 'P 1 m 1'
_space_group_IT_number 6
_cell_length_a 3.111
_cell_length_b 4.029
_cell_length_c 4.252
_cell_angle_alpha 90.00
_cell_angle_beta 90.08
_cell_angle_gamma 90.00
loop_
_space_group_symop_operation_xyz
'x,y,z'
'x,-y,z'
loop_
_atom_site_label
_atom_site_type_symbol
_atom_site_fract_x
_atom_site_fract_y
_atom_site_fract_z
Ni1 Ni 0.000 0.000 0.000
Ni2 Ni 0.003 0.500 0.675
Rh1 Rh 0.502 0.500 0.173
Se1 Se 0.499 0.000 0.538
# total moment: 0.000 μB per cell
# energy: -22.0 eV per cell


# 12
# NiRhSe3 (PBE, optimized geometry)
data_NiRhSe3
_space_group_name_H-M_alt 'P n m a'
_space_group_IT_number 62
_cell_length_a 6.204
_cell_length_b 9.867
_cell_length_c 6.141
_cell_angle_alpha 90.00
_cell_angle_beta 90.00
_cell_angle_gamma 90.00
loop_
_space_group_symop_operation_xyz
'x,y,z'
'-x,-y,-z'
'-x+1/2,-y,z+1/2'
'x+1/2,y,-z+1/2'
'x+1/2,-y+1/2,-z+1/2'
'-x+1/2,y+1/2,z+1/2'
'-x,y+1/2,-z'
'x,-y+1/2,z'
loop_
_atom_site_label
_atom_site_type_symbol
_atom_site_fract_x
_atom_site_fract_y
_atom_site_fract_z
Ni1 Ni 0.226 0.250 0.049
Rh1 Rh 0.000 0.000 0.000
Se1 Se 0.129 0.566 0.375
Se2 Se 0.140 0.750 0.910
# total moment: 0.000 μB per cell
# energy: -99.6 eV per cell


# 13
# Ni2RhSe (PBE, optimized geometry)
data_Ni2RhSe
_space_group_name_H-M_alt 'C 1 m 1'
_space_group_IT_number 8
_cell_length_a 8.079
_cell_length_b 3.089
_cell_length_c 4.410
_cell_angle_alpha 90.00
_cell_angle_beta 103.77
_cell_angle_gamma 90.00
loop_
_space_group_symop_operation_xyz
'x,y,z'
'x,-y,z'
'x+1/2,y+1/2,z'
'x+1/2,-y+1/2,z'
loop_
_atom_site_label
_atom_site_type_symbol
_atom_site_fract_x
_atom_site_fract_y
_atom_site_fract_z
Ni1 Ni 0.000 0.000 0.000
Ni2 Ni 0.244 0.500 0.200
Rh1 Rh 0.244 0.000 0.710
Se1 Se 0.492 0.000 0.427
# total moment: 0.000 μB per cell
# energy: -44.2 eV per cell